A plane-wave DFT calculation with SCAN was carried out for a crystal of Cd2AgTe relaxed with PBEsol.

DOS(E_F) (states/eV per cell): 1.384
Crystal system: orthorhombic
Magnetization (Bohr magnetons per cell): 0.000
E_form (uncorrected) (meV/atom): 79
Mass density (g cm⁻³): 8.72

a = 3.135 Å, b = 4.081 Å, c = 6.850 Å
α = 90.00°, β = 90.00°, γ = 90.00°
Sites, in units of the cell vectors:
Cd 0.000 0.000 0.215
Cd 0.000 0.000 0.785
Ag 0.500 0.500 0.000
Te 0.500 0.500 0.500

***

A plane-wave DFT calculation with SCAN was carried out for a crystal of CdAgTe2 relaxed with PBEsol.

DOS(E_F) (states/eV per cell): 4.251
Crystal system: tetragonal
Magnetization (Bohr magnetons per cell): 0.000
E_form (uncorrected) (meV/atom): 102
Mass density (g cm⁻³): 7.70

a = 4.066 Å, b = 4.066 Å, c = 12.402 Å
α = 90.00°, β = 90.00°, γ = 90.00°
Sites, in units of the cell vectors:
Cd 0.000 0.000 0.000
Cd 0.500 0.500 0.500
Ag 0.000 0.500 0.750
Ag 0.500 0.000 0.250
Te 0.000 0.000 0.500
Te 0.000 0.500 0.250
Te 0.500 0.000 0.750
Te 0.500 0.500 0.000

***

A plane-wave DFT calculation with SCAN was carried out for a crystal of CdAgTe2 relaxed with PBEsol.

DOS(E_F) (states/eV per cell): 10.836
Crystal system: tetragonal
Magnetization (Bohr magnetons per cell): 0.320
E_form (uncorrected) (meV/atom): -171
Mass density (g cm⁻³): 6.21

a = 6.345 Å, b = 6.345 Å, c = 12.629 Å
α = 90.00°, β = 90.00°, γ = 90.00°
Sites, in units of the cell vectors:
Cd 0.000 0.000 0.000
Cd 0.000 0.500 0.250
Cd 0.500 0.000 0.750
Cd 0.500 0.500 0.500
Ag 0.000 0.000 0.500
Ag 0.000 0.500 0.750
Ag 0.500 0.000 0.250
Ag 0.500 0.500 0.000
Te 0.237 0.250 0.625
Te 0.250 0.737 0.875
Te 0.250 0.763 0.375
Te 0.263 0.250 0.125
Te 0.737 0.750 0.125
Te 0.750 0.237 0.375
Te 0.750 0.263 0.875
Te 0.763 0.750 0.625